A plane-wave DFT calculation with SCAN was carried out for TlBiN2 at its PBEsol-relaxed geometry.

## Properties
For the uncorrected formation energy, the calculation gives 1.2832 eV per atom. The spin magnetization comes out at 0.86 μB per formula unit. The calculation puts the mass density at 10.24 g/cm3. As for the final energy: -41.10 eV per atom.

a = 7.0336 Å, b = 7.0336 Å, c = 7.0336 Å
α = 28.83°, β = 28.83°, γ = 28.83°
Last column: nearest neighbours and their distance in Å.
Positions (direct):
Tl1 0.0000 0.0000 0.0000  6 N 2.32
Bi1 0.5000 0.5000 0.5000  2 N 2.23
N1 0.3897 0.3897 0.3897  1 Bi 2.23, 3 Tl 2.32
N2 0.6103 0.6103 0.6103  1 Bi 2.23, 3 Tl 2.32

---

A plane-wave DFT calculation with SCAN was carried out for Y2NiCl at its PBEsol-relaxed geometry.

## Properties
For the uncorrected formation energy, the calculation gives -1.0499 eV per atom. The spin magnetization comes out at 0.01 μB per formula unit. The calculation puts the mass density at 5.08 g/cm3. As for the final energy: -21.01 eV per atom.

a = 7.3794 Å, b = 7.3794 Å, c = 7.3794 Å
α = 29.98°, β = 29.98°, γ = 29.98°
Last column: nearest neighbours and their distance in Å.
Positions (direct):
Y1 0.2368 0.2368 0.2368  3 Ni 2.66
Y2 0.7632 0.7632 0.7632  3 Ni 2.66
Ni1 0.5000 0.5000 0.5000  6 Y 2.66
Cl1 0.0000 0.0000 0.0000  6 Y 3.00

---

A plane-wave DFT calculation with SCAN was carried out for CuNi2W at its PBEsol-relaxed geometry.

## Properties
The spin magnetization comes out at 0.00 μB per formula unit. The calculation puts the mass density at 12.63 g/cm3. The calculated formation energy is 218.1 meV/atom. As for the final energy: -29.09 eV per atom.

a = 4.9310 Å, b = 4.9310 Å, c = 4.9310 Å
α = 148.70°, β = 129.06°, γ = 61.02°
Last column: nearest neighbours and their distance in Å.
Positions (direct):
Cu1 0.0000 0.0000 0.0000  6 Ni 2.45-2.51, 2 W 2.65, 2 Cu 2.66
Ni1 0.2416 0.7416 0.5000  4 Ni 2.41-2.66, 2 Cu 2.45, 4 W 2.51
Ni2 0.4785 0.4785 0.0000  4 Ni 2.41-2.66, 4 Cu 2.51, 2 W 2.52
W1 0.7302 0.2302 0.5000  6 Ni 2.51-2.52, 2 Cu 2.65, 2 W 2.66

---

A plane-wave DFT calculation with SCAN was carried out for Re2HgOs at its PBEsol-relaxed geometry.

## Properties
The spin magnetization comes out at 0.00 μB per formula unit. The calculation puts the mass density at 19.31 g/cm3. The calculated formation energy is 757.8 meV/atom. As for the final energy: -69.80 eV per atom.

a = 5.8271 Å, b = 5.8271 Å, c = 5.8271 Å
α = 152.62°, β = 133.51°, γ = 54.80°
Last column: nearest neighbours and their distance in Å.
Positions (direct):
Re1 0.2133 0.2133 0.0000  2 Os 2.60, 6 Re 2.76-2.79
Re2 0.7867 0.7867 0.0000  2 Os 2.60, 6 Re 2.76-2.79
Hg1 0.5000 0.0000 0.5000  4 Os 2.68, 2 Hg 2.76
Os1 0.0000 0.5000 0.5000  4 Re 2.60, 4 Hg 2.68, 2 Os 2.76

---

A plane-wave DFT calculation with SCAN was carried out for Al2AsP at its PBEsol-relaxed geometry.

## Properties
The spin magnetization comes out at 0.00 μB per formula unit. The calculation puts the mass density at 3.90 g/cm3. The calculated formation energy is -289.1 meV/atom. As for the final energy: -11.81 eV per atom.

a = 3.6330 Å, b = 3.6330 Å, c = 5.1576 Å
α = 90.00°, β = 90.00°, γ = 90.00°
Last column: nearest neighbours and their distance in Å.
Positions (direct):
Al1 0.0000 0.0000 0.0000  4 P 2.57, 2 As 2.58
Al2 0.5000 0.5000 0.5000  4 As 2.57, 2 P 2.58
As1 0.0000 0.0000 0.5000  6 Al 2.57-2.58
P1 0.5000 0.5000 0.0000  6 Al 2.57-2.58

---

A plane-wave DFT calculation with SCAN was carried out for LaBe2As2 at its PBEsol-relaxed geometry.

## Properties
The spin magnetization comes out at 0.00 μB per formula unit. The calculation puts the mass density at 5.96 g/cm3. The calculated formation energy is -712.9 meV/atom. As for the final energy: -19.15 eV per atom.

a = 6.7148 Å, b = 6.7148 Å, c = 6.7148 Å
α = 147.83°, β = 147.83°, γ = 46.14°
Last column: nearest neighbours and their distance in Å.
Positions (direct):
La1 0.0000 0.0000 0.0000  8 As 3.14
Be1 0.2500 0.7500 0.5000  4 As 2.31
Be2 0.7500 0.2500 0.5000  4 As 2.31
As1 0.3612 0.3612 0.0000  4 Be 2.31
As2 0.6388 0.6388 0.0000  4 Be 2.31

---

A plane-wave DFT calculation with SCAN was carried out for Y3CoIr at its PBEsol-relaxed geometry.

## Properties
The spin magnetization comes out at 0.00 μB per formula unit. The calculation puts the mass density at 7.35 g/cm3. The calculated formation energy is 103.5 meV/atom. As for the final energy: -34.28 eV per atom.

a = 4.8912 Å, b = 4.8912 Å, c = 4.8912 Å
α = 90.00°, β = 90.00°, γ = 90.00°
Last column: nearest neighbours and their distance in Å.
Positions (direct):
Y1 0.0000 0.0000 0.5000  2 Co 2.45
Y2 0.0000 0.5000 0.0000  2 Co 2.45
Y3 0.5000 0.0000 0.0000  2 Co 2.45
Co1 0.0000 0.0000 0.0000  6 Y 2.45
Ir1 0.5000 0.5000 0.5000  12 Y 3.46

---

A plane-wave DFT calculation with SCAN was carried out for CrOsPb2 at its PBEsol-relaxed geometry.

## Properties
The spin magnetization comes out at 0.00 μB per formula unit. The calculation puts the mass density at 13.36 g/cm3. The calculated formation energy is 402.1 meV/atom. As for the final energy: -60.05 eV per atom.

a = 3.0371 Å, b = 3.0371 Å, c = 8.8492 Å
α = 90.00°, β = 90.00°, γ = 90.00°
Last column: nearest neighbours and their distance in Å.
Positions (direct):
Cr1 0.0000 0.0000 0.0000  4 Os 2.47
Os1 0.5000 0.5000 0.1368  4 Cr 2.47
Pb1 0.0000 0.0000 0.3845  4 Pb 3.04, 4 Os 3.07
Pb2 0.5000 0.5000 0.7608  4 Cr 3.02, 4 Pb 3.04, 1 Os 3.33

---

Question: Number 4 is which compound?
Answer: Re2HgOs

---

Question: spin magnetization of number 4 (Re2HgOs)?
Answer: 0.00 μB per formula unit